(1)
# AlInTeAs2 | Alexandria via LeMat-Bulk | PBE-GGA | relaxed
# **Crystal system**: tetragonal
# **Formation energy from raw total energies**: 0.40 eV/atom
data_AlInTeAs2
_cell_length_a 4.909
_cell_length_b 4.909
_cell_length_c 5.378
_cell_angle_alpha 90.00
_cell_angle_beta 90.00
_cell_angle_gamma 90.00
_space_group_name_H-M_alt 'P 4/m m m'
_space_group_IT_number 123
_space_group_name_Hall '-P 4 2'
loop_
_atom_site_label
_atom_site_fract_x
_atom_site_fract_y
_atom_site_fract_z
Al1 0.000 0.000 0.000
In1 0.000 0.000 0.500
Te1 0.500 0.500 0.500
As1 0.000 0.500 0.000


(2)
# Tl2Bi3Pb3 | Alexandria via LeMat-Bulk | PBE-GGA | relaxed
# **Formation enthalpy at 0 K**: 0.04 eV/atom
# **Crystal system**: hexagonal
data_Tl2Bi3Pb3
_cell_length_a 9.4045
_cell_length_b 9.4045
_cell_length_c 3.5230
_cell_angle_alpha 90.00
_cell_angle_beta 90.00
_cell_angle_gamma 120.00
_space_group_name_H-M_alt 'P -6 2 m'
_space_group_IT_number 189
_space_group_name_Hall 'P -6 -2'
loop_
_atom_site_label
_atom_site_fract_x
_atom_site_fract_y
_atom_site_fract_z
Tl1 0.3333 0.6667 0.0000
Bi1 0.0000 0.3576 0.5000
Pb1 0.0000 0.7883 0.0000


(3)
# LaPdRu | Alexandria via LeMat-Bulk | PBE-GGA | relaxed
# **Relative energy among the computed polymorphs**: 283 meV/atom
# **Formation enthalpy at 0 K**: -0.18 eV/atom
# **Crystal system**: hexagonal
data_LaPdRu
_cell_length_a 4.4098
_cell_length_b 4.4098
_cell_length_c 3.9957
_cell_angle_alpha 90.00
_cell_angle_beta 90.00
_cell_angle_gamma 120.00
_space_group_name_H-M_alt 'P -6 m 2'
_space_group_IT_number 187
_space_group_name_Hall 'P -6 2'
loop_
_atom_site_label
_atom_site_fract_x
_atom_site_fract_y
_atom_site_fract_z
La1 0.0000 0.0000 0.0000
Pd1 0.6667 0.3333 0.5000
Ru1 0.3333 0.6667 0.5000


(4)
# CaIn15Sn4 | Alexandria via LeMat-Bulk | PBE-GGA | relaxed
# **Formation enthalpy at 0 K**: -0.05 eV/atom
# **Crystal system**: tetragonal
data_CaIn15Sn4
_cell_length_a 4.980
_cell_length_b 4.980
_cell_length_c 21.989
_cell_angle_alpha 90.00
_cell_angle_beta 90.00
_cell_angle_gamma 90.00
_space_group_name_H-M_alt 'P 4/m m m'
_space_group_IT_number 123
_space_group_name_Hall '-P 4 2'
loop_
_atom_site_label
_atom_site_fract_x
_atom_site_fract_y
_atom_site_fract_z
Ca1 0.000 0.000 0.000
In1 0.000 0.500 0.102
In2 0.000 0.500 0.300
In3 0.000 0.500 0.500
In4 0.500 0.500 0.000
In5 0.500 0.500 0.203
In6 0.500 0.500 0.400
Sn1 0.000 0.000 0.194
Sn2 0.000 0.000 0.399


(5)
# BaLiTl2Ag | Alexandria via LeMat-Bulk | PBE-GGA | relaxed
# **Relative energy among the computed polymorphs**: 0 meV/atom
# **Formation enthalpy at 0 K**: -0.16 eV/atom
# **Crystal system**: tetragonal
data_BaLiTl2Ag
_cell_length_a 5.243
_cell_length_b 5.243
_cell_length_c 5.205
_cell_angle_alpha 90.00
_cell_angle_beta 90.00
_cell_angle_gamma 90.00
_space_group_name_H-M_alt 'P 4/m m m'
_space_group_IT_number 123
_space_group_name_Hall '-P 4 2'
loop_
_atom_site_label
_atom_site_fract_x
_atom_site_fract_y
_atom_site_fract_z
Ba1 0.000 0.000 0.000
Li1 0.500 0.500 0.500
Tl1 0.000 0.500 0.500
Ag1 0.500 0.500 0.000


(6)
# KCo2Ir | Alexandria via LeMat-Bulk | PBE-GGA | relaxed
# **Relative energy among the computed polymorphs**: 200 meV/atom
# **Formation enthalpy at 0 K**: 0.78 eV/atom
# **Crystal system**: trigonal
data_KCo2Ir
_cell_length_a 2.7520
_cell_length_b 2.7520
_cell_length_c 29.4850
_cell_angle_alpha 90.00
_cell_angle_beta 90.00
_cell_angle_gamma 120.00
_space_group_name_H-M_alt 'R -3 m'
_space_group_IT_number 166
_space_group_name_Hall '-R 3 2"'
loop_
_atom_site_label
_atom_site_fract_x
_atom_site_fract_y
_atom_site_fract_z
K1 0.0000 0.0000 0.0000
Co1 0.0000 0.0000 0.2361
Ir1 0.0000 0.0000 0.5000


| no. | density (g cm⁻³) | total energy (eV/atom) |
| --- | --- | --- |
| 1 | 5.4 | -3.3809 |
| 2 | 10.2 | -3.3969 |
| 3 | 8.5 | -6.6471 |
| 4 | 6.8 | -3.0017 |
| 5 | 7.7 | -2.4407 |
| 6 | 9.0 | -5.2649 |